(1)
DFT (PBE) results for a relaxed ErScCS crystal.

Calculated values
relative energy among the computed polymorphs	0.0005	eV per atom
calculated density	6.28	g cm⁻³

Cell lengths 3.5603, 3.5603, 12.3546 Å; angles 90.00, 90.00, 120.00 degrees
Last column: nearest neighbours and their distance in Å.
Space group P-6m2 (No. 187)
One atom of each set of equivalent atoms:
Er 0.0000 0.0000 0.1530 [2 per cell]  3 C 2.45
Sc 0.3333 0.6667 0.3594 [2 per cell]  3 C 2.39
C 0.6667 0.3333 0.2608 [2 per cell]  3 Sc 2.39, 3 Er 2.45
S 0.0000 0.0000 0.5000 [1 per cell]  6 Sc 2.69
S 0.3333 0.6667 0.0000 [1 per cell]  6 Er 2.79

---

(2)
DFT (PBE) results for a relaxed ErScCS crystal.

Calculated values
relative energy among the computed polymorphs	0.0000	eV per atom
calculated density	6.28	g cm⁻³

Cell lengths 3.5595, 3.5595, 12.3581 Å; angles 90.00, 90.00, 120.00 degrees
Last column: nearest neighbours and their distance in Å.
Space group P6_3mc (No. 186)
One atom of each set of equivalent atoms:
Er 0.3333 0.6667 0.0000 [2 per cell]  3 C 2.45
Sc 0.3333 0.6667 0.7063 [2 per cell]  3 C 2.39
C 0.0000 0.0000 0.1074 [2 per cell]  3 Sc 2.39, 3 Er 2.45
S 0.3333 0.6667 0.3460 [2 per cell]  3 Sc 2.68, 3 Er 2.80

---

Number 2 is which compound? ErScCS

---

Which formula does entry 1 have? ErScCS

---

Which value of relative energy among the computed polymorphs does entry 2 give? 0.0000 eV per atom